Record 1
# ScAsI3

ScAsI3 after structural relaxation (GGA-PBEsol, the Alexandria database).

Unit cell a=5.5900 b=5.5900 c=5.5900 alpha=90.00 beta=90.00 gamma=90.00
With the nearest neighbours (Å) after each atom.
Fractional positions:
1 Sc 0.0000 0.0000 0.0000  12 I 3.95
2 As 0.5000 0.5000 0.5000  6 I 2.80
3 I 0.0000 0.5000 0.5000  2 As 2.80
4 I 0.5000 0.0000 0.5000  2 As 2.80
5 I 0.5000 0.5000 0.0000  2 As 2.80

## Properties
Formation energy (no corrections) in meV per atom: 223
Space-group type: Pm-3m (221)

=====

Record 2
# ScAs2SeI

ScAs2SeI after structural relaxation (GGA-PBEsol, the Alexandria database).

Unit cell a=5.1922 b=5.1922 c=5.2224 alpha=90.00 beta=90.00 gamma=90.00
With the nearest neighbours (Å) after each atom.
Fractional positions:
1 Sc 0.0000 0.0000 0.0000  4 Se 3.67, 8 As 3.68
2 As 0.0000 0.5000 0.5000  2 I 2.60
3 As 0.5000 0.0000 0.5000  2 I 2.60
4 Se 0.5000 0.5000 0.0000  2 I 2.61
5 I 0.5000 0.5000 0.5000  4 As 2.60, 2 Se 2.61

## Properties
Formation energy (no corrections) in meV per atom: 778
Space-group type: P4/mmm (123)

=====

Record 3
# AsSeI2

AsSeI2 after structural relaxation (GGA-PBEsol, the Alexandria database).

Unit cell a=6.7670 b=6.7670 c=6.7670 alpha=108.96 beta=108.96 gamma=110.51
With the nearest neighbours (Å) after each atom.
Fractional positions:
1 As 0.0000 0.0000 0.0000  4 I 2.85
2 As 0.7500 0.2500 0.5000  4 I 2.85
3 Se 0.2500 0.7500 0.5000  4 I 3.04
4 Se 0.5000 0.5000 0.0000  4 I 3.04
5 I 0.1062 0.6250 0.9812  2 As 2.85, 2 Se 3.04
6 I 0.3750 0.3562 0.4812  2 As 2.85, 2 Se 3.04
7 I 0.6438 0.1250 0.0188  2 As 2.85, 2 Se 3.04
8 I 0.8750 0.8938 0.5188  2 As 2.85, 2 Se 3.04

## Properties
Formation energy (no corrections) in meV per atom: 492
Space-group type: I-42d (122)

=====

Record 4
# TcAs2SeI

TcAs2SeI after structural relaxation (GGA-PBEsol, the Alexandria database).

Unit cell a=4.8870 b=4.8870 c=4.7116 alpha=90.00 beta=90.00 gamma=90.00
With the nearest neighbours (Å) after each atom.
Fractional positions:
1 Tc 0.0000 0.0000 0.0000  2 Se 2.36, 4 As 2.44
2 As 0.0000 0.5000 0.0000  2 Tc 2.44
3 As 0.5000 0.0000 0.0000  2 Tc 2.44
4 Se 0.0000 0.0000 0.5000  2 Tc 2.36
5 I 0.5000 0.5000 0.5000  8 As 3.39, 4 Se 3.46

## Properties
Formation energy (no corrections) in meV per atom: 322
Space-group type: P4/mmm (123)

=====

Record 5
# As2WSeI

As2WSeI after structural relaxation (GGA-PBEsol, the Alexandria database).

Unit cell a=5.1777 b=5.1777 c=5.1531 alpha=90.00 beta=90.00 gamma=90.00
With the nearest neighbours (Å) after each atom.
Fractional positions:
1 As 0.0000 0.5000 0.0000  2 I 2.59
2 As 0.5000 0.0000 0.0000  2 I 2.59
3 W 0.0000 0.0000 0.5000  8 As 3.65, 4 Se 3.66
4 Se 0.5000 0.5000 0.5000  2 I 2.58
5 I 0.5000 0.5000 0.0000  2 Se 2.58, 4 As 2.59

## Properties
Formation energy (no corrections) in meV per atom: 2166
Space-group type: P4/mmm (123)

=====

Record 6
# ZnAsSe2I

ZnAsSe2I after structural relaxation (GGA-PBEsol, the Alexandria database).

Unit cell a=5.3357 b=5.3357 c=5.3025 alpha=90.00 beta=90.00 gamma=90.00
With the nearest neighbours (Å) after each atom.
Fractional positions:
1 Zn 0.0000 0.0000 0.0000  8 Se 3.76, 4 As 3.77
2 As 0.5000 0.5000 0.0000  2 I 2.65
3 Se 0.0000 0.5000 0.5000  2 I 2.67
4 Se 0.5000 0.0000 0.5000  2 I 2.67
5 I 0.5000 0.5000 0.5000  2 As 2.65, 4 Se 2.67

## Properties
Formation energy (no corrections) in meV per atom: 1079
Space-group type: P4/mmm (123)